DFT (PBE) results for a geometry-optimized SbHRh3 structure.

Geometry as CIF:
```
data_SbHRh3
_chemical_formula_sum 'Sb2 H2 Rh6'
_cell_length_a 4.7308
_cell_length_b 5.7872
_cell_length_c 4.9734
_cell_angle_alpha 90.00
_cell_angle_beta 102.01
_cell_angle_gamma 90.00
_symmetry_space_group_name_H-M 'P 1 21/m 1'
_symmetry_Int_Tables_number 11
loop_
_symmetry_equiv_pos_as_xyz
'x,y,z'
'-x,-y,-z'
'-x,y+1/2,-z'
'x,-y+1/2,z'
loop_
_atom_site_label
_atom_site_fract_x
_atom_site_fract_y
_atom_site_fract_z
Sb1 0.1974 0.2500 0.2664
H1 0.4860 0.2500 0.8754
Rh1 0.1673 0.7500 0.1889
Rh2 0.3057 0.5097 0.7069
```

Computed properties:
Relative energy among the computed polymorphs, meV/atom: 113
V, Å³/cell: 133